Version P
The following is a PBE-GGA calculation of crystalline Mn2ZnAu8 at its relaxed geometry, from Alexandria.

Cell lengths 4.2338, 6.6426, 7.4812 Å; angles 109.03, 106.44, 90.00 degrees
Closest atoms and distances in Å follow each position.
Element x y z (fractional)
Mn: 0.2211 0.6446 0.4421  10 Au 2.77-2.97
Mn: 0.7789 0.3554 0.5579  10 Au 2.77-2.97
Zn: 0.5000 0.0000 0.0000  12 Au 2.80-2.96
Au: 0.6001 0.4477 0.2002  3 Mn 2.77-2.83, 1 Zn 2.83, 5 Au 2.90-2.91
Au: 0.3223 0.0871 0.6447  1 Zn 2.80, 3 Mn 2.80-2.97, 8 Au 2.85-2.97
Au: 0.1455 0.1971 0.2911  3 Mn 2.80-2.81, 7 Au 2.87-2.97, 2 Zn 2.95
Au: 0.0422 0.7307 0.0843  1 Mn 2.81, 9 Au 2.85-3.13, 2 Zn 2.96
Au: 0.8545 0.8029 0.7089  3 Mn 2.80-2.81, 7 Au 2.87-2.97, 2 Zn 2.95
Au: 0.6777 0.9129 0.3553  1 Zn 2.80, 3 Mn 2.80-2.97, 8 Au 2.85-2.97
Au: 0.3999 0.5523 0.7998  3 Mn 2.77-2.83, 1 Zn 2.83, 5 Au 2.90-2.91
Au: 0.9578 0.2693 0.9157  1 Mn 2.81, 9 Au 2.85-3.13, 2 Zn 2.96

Calculated density = 15.32 g cm⁻³
Calculated volume = 190 Å³ per cell

Version Q
The following is a PBE-GGA calculation of crystalline Mn2ZnAu8 at its relaxed geometry, from Alexandria.

Cell lengths 2.8916, 7.3799, 9.2837 Å; angles 110.20, 98.96, 90.00 degrees
Closest atoms and distances in Å follow each position.
Element x y z (fractional)
Mn: 0.7573 0.4063 0.5146  2 Mn 2.08
Mn: 0.2427 0.5937 0.4854  2 Mn 2.08
Zn: 0.5000 0.0000 0.0000  8 Au 2.80-2.81, 2 Zn 2.89
Au: 0.3939 0.5535 0.7878  3 Mn 2.76-2.89, 9 Au 2.84-3.07
Au: 0.6907 0.8509 0.3814  2 Mn 2.81, 10 Au 2.84-3.07
Au: 0.8603 0.8652 0.7205  2 Mn 2.78, 2 Zn 2.80, 8 Au 2.89-3.07
Au: 0.9609 0.2793 0.9219  2 Zn 2.81, 10 Au 2.89-3.07
Au: 0.1397 0.1348 0.2795  2 Mn 2.78, 2 Zn 2.80, 8 Au 2.89-3.07
Au: 0.3093 0.1491 0.6186  2 Mn 2.81, 10 Au 2.84-3.07
Au: 0.6061 0.4465 0.2122  3 Mn 2.76-2.89, 9 Au 2.84-3.07
Au: 0.0391 0.7207 0.0781  2 Zn 2.81, 10 Au 2.89-3.07

Calculated density = 15.86 g cm⁻³
Calculated volume = 183 Å³ per cell

The computed energies, referenced to the most stable structure and given in meV/atom, are version P 0; version Q 181.

Version P
The following is a PBE-GGA calculation of crystalline MnZn4Au at its relaxed geometry, from Alexandria.

Cell lengths 3.0262, 3.0262, 9.8276 Å; angles 90.00, 90.00, 90.00 degrees
Closest atoms and distances in Å follow each position.
Element x y z (fractional)
Mn: 0.5000 0.5000 0.5000  8 Zn 2.64
Zn: 0.5000 0.5000 0.8204  4 Zn 2.68, 4 Au 2.77
Zn: 0.5000 0.5000 0.1796  4 Zn 2.68, 4 Au 2.77
Zn: 0.0000 0.0000 0.6568  4 Mn 2.64, 4 Zn 2.68
Zn: 0.0000 0.0000 0.3432  4 Mn 2.64, 4 Zn 2.68
Au: 0.0000 0.0000 0.0000  8 Zn 2.77, 4 Au 3.03

Calculated density = 9.48 g cm⁻³
Calculated volume = 90 Å³ per cell

Version Q
The following is a PBE-GGA calculation of crystalline MnZn4Au at its relaxed geometry, from Alexandria.

Cell lengths 4.3326, 7.4912, 7.0223 Å; angles 122.23, 72.28, 90.00 degrees
Closest atoms and distances in Å follow each position.
Element x y z (fractional)
Mn: 0.7500 0.7500 0.0000  2 Au 2.77, 12 Zn 2.83-2.84
Mn: 0.2500 0.2500 0.0000  2 Au 2.77, 12 Zn 2.83-2.84
Zn: 0.6304 0.5368 0.2399  4 Zn 2.50-2.66
Zn: 0.6304 0.2031 0.2399  4 Zn 2.50-2.66
Zn: 0.1304 0.7031 0.2399  4 Zn 2.50-2.66
Zn: 0.1304 0.0368 0.2399  4 Zn 2.50-2.66
Zn: 0.3696 0.7969 0.7601  4 Zn 2.50-2.66
Zn: 0.3696 0.4632 0.7601  4 Zn 2.50-2.66
Zn: 0.8696 0.9632 0.7601  4 Zn 2.50-2.66
Zn: 0.8696 0.2969 0.7601  4 Zn 2.50-2.66
Au: 0.5000 0.0000 0.5000  2 Mn 2.77, 12 Zn 2.88-2.89
Au: 0.0000 0.5000 0.5000  2 Mn 2.77, 12 Zn 2.88-2.89

Calculated density = 9.48 g cm⁻³
Calculated volume = 180 Å³ per cell

The computed energies, referenced to the most stable structure and given in meV/atom, are version P 24; version Q 0.

Version P
The following is a PBE-GGA calculation of crystalline Mn2ZnAu6 at its relaxed geometry, from Alexandria.

Cell lengths 4.4119, 6.0429, 7.5534 Å; angles 113.58, 105.86, 90.00 degrees
Closest atoms and distances in Å follow each position.
Element x y z (fractional)
Mn: 0.6677 0.6675 0.3350  8 Au 2.68-2.69
Mn: 0.3323 0.3325 0.6650  8 Au 2.68-2.69
Zn: 0.0000 0.0000 0.0000  8 Au 2.65-2.67
Au: 0.1654 0.4136 0.3299  1 Zn 2.65, 3 Mn 2.68
Au: 0.8346 0.0838 0.6701  1 Zn 2.65, 3 Mn 2.68
Au: 0.8346 0.5864 0.6701  1 Zn 2.65, 3 Mn 2.68
Au: 0.5000 0.2480 0.0000  2 Zn 2.67, 2 Mn 2.69
Au: 0.1654 0.9162 0.3299  1 Zn 2.65, 3 Mn 2.68
Au: 0.5000 0.7520 0.0000  2 Zn 2.67, 2 Mn 2.69

Calculated density = 12.79 g cm⁻³
Calculated volume = 176 Å³ per cell

Version Q
The following is a PBE-GGA calculation of crystalline Mn2ZnAu6 at its relaxed geometry, from Alexandria.

Cell lengths 4.2392, 8.4749, 8.4753 Å; angles 90.00, 90.00, 90.00 degrees
Closest atoms and distances in Å follow each position.
Element x y z (fractional)
Mn: 0.0000 0.3121 0.8121  10 Au 2.80-2.96, 2 Zn 3.09
Mn: 0.5000 0.8121 0.6879  10 Au 2.80-2.96, 2 Zn 3.09
Mn: 0.5000 0.1879 0.3121  10 Au 2.80-2.96, 2 Zn 3.09
Mn: 0.0000 0.6879 0.1879  10 Au 2.80-2.96, 2 Zn 3.09
Zn: 0.5000 0.5000 0.0000  8 Au 2.71-2.75
Zn: 0.0000 0.0000 0.5000  8 Au 2.71-2.75
Au: 0.0000 0.0183 0.1758  1 Zn 2.75, 3 Mn 2.80-2.81, 8 Au 2.91-3.00
Au: 0.0000 0.6758 0.5182  1 Zn 2.75, 3 Mn 2.80-2.81, 8 Au 2.91-3.00
Au: 0.0000 0.6403 0.8597  2 Zn 2.71, 4 Mn 2.81-2.96, 6 Au 2.91-2.95
Au: 0.5000 0.1403 0.6403  2 Zn 2.71, 4 Mn 2.81-2.96, 6 Au 2.91-2.95
Au: 0.5000 0.1758 0.9818  1 Zn 2.75, 3 Mn 2.80-2.81, 8 Au 2.91-3.00
Au: 0.5000 0.5183 0.3242  1 Zn 2.75, 3 Mn 2.80-2.81, 8 Au 2.91-3.00
Au: 0.0000 0.9817 0.8242  1 Zn 2.75, 3 Mn 2.80-2.81, 8 Au 2.91-3.00
Au: 0.0000 0.3242 0.4818  1 Zn 2.75, 3 Mn 2.80-2.81, 8 Au 2.91-3.00
Au: 0.0000 0.3597 0.1403  2 Zn 2.71, 4 Mn 2.81-2.96, 6 Au 2.91-2.95
Au: 0.5000 0.8597 0.3597  2 Zn 2.71, 4 Mn 2.81-2.96, 6 Au 2.91-2.95
Au: 0.5000 0.8242 0.0182  1 Zn 2.75, 3 Mn 2.80-2.81, 8 Au 2.91-3.00
Au: 0.5000 0.4817 0.6758  1 Zn 2.75, 3 Mn 2.80-2.81, 8 Au 2.91-3.00

Calculated density = 14.80 g cm⁻³
Calculated volume = 304 Å³ per cell

The computed energies, referenced to the most stable structure and given in meV/atom, are version P 165; version Q 0.

Version P
The following is a PBE-GGA calculation of crystalline MnZn2Au6 at its relaxed geometry, from Alexandria.

Cell lengths 4.9252, 5.6976, 6.6458 Å; angles 75.12, 68.25, 64.39 degrees
Closest atoms and distances in Å follow each position.
Element x y z (fractional)
Mn: 0.0000 0.5000 0.5000  8 Au 2.70-2.83, 2 Zn 2.94
Zn: 0.2287 0.9288 0.6138  7 Au 2.73-2.88, 2 Zn 2.89, 1 Mn 2.94
Zn: 0.7713 0.0712 0.3862  7 Au 2.73-2.88, 2 Zn 2.89, 1 Mn 2.94
Au: 0.6798 0.8350 0.8054  1 Mn 2.70, 3 Zn 2.73-2.75, 4 Au 2.87-2.97
Au: 0.3202 0.1650 0.1946  1 Mn 2.70, 3 Zn 2.73-2.75, 4 Au 2.87-2.97
Au: 0.1004 0.7303 0.0690  2 Zn 2.77-2.88, 1 Mn 2.78, 7 Au 2.80-2.97
Au: 0.5573 0.6044 0.2809  2 Zn 2.74-2.79, 6 Au 2.79-3.04, 2 Mn 2.83
Au: 0.8996 0.2697 0.9310  2 Zn 2.77-2.88, 1 Mn 2.78, 7 Au 2.80-2.97
Au: 0.4427 0.3956 0.7191  2 Zn 2.74-2.79, 6 Au 2.79-3.04, 2 Mn 2.83

Calculated density = 14.64 g cm⁻³
Calculated volume = 155 Å³ per cell

Version Q
The following is a PBE-GGA calculation of crystalline MnZn2Au6 at its relaxed geometry, from Alexandria.

Cell lengths 4.9975, 8.0537, 8.0537 Å; angles 73.51, 84.18, 84.18 degrees
Closest atoms and distances in Å follow each position.
Element x y z (fractional)
Mn: 0.2500 0.1216 0.8784  10 Au 2.77-2.94
Mn: 0.7500 0.8784 0.1216  10 Au 2.77-2.94
Zn: 0.4160 0.5401 0.7893  9 Au 2.70-3.00
Zn: 0.0840 0.2107 0.4599  9 Au 2.70-3.00
Zn: 0.5840 0.4599 0.2107  9 Au 2.70-3.00
Zn: 0.9160 0.7893 0.5401  9 Au 2.70-3.00
Au: 0.4839 0.6824 0.4308  4 Zn 2.72-3.00, 5 Au 2.83-2.91, 1 Mn 2.83
Au: 0.0161 0.5692 0.3176  4 Zn 2.72-3.00, 5 Au 2.83-2.91, 1 Mn 2.83
Au: 0.5161 0.3176 0.5692  4 Zn 2.72-3.00, 5 Au 2.83-2.91, 1 Mn 2.83
Au: 0.9839 0.4308 0.6824  4 Zn 2.72-3.00, 5 Au 2.83-2.91, 1 Mn 2.83
Au: 0.6648 0.0918 0.3529  3 Zn 2.70-2.86, 5 Au 2.84-2.88, 1 Mn 2.85
Au: 0.8352 0.6471 0.9082  3 Zn 2.70-2.86, 5 Au 2.84-2.88, 1 Mn 2.85
Au: 0.3352 0.9082 0.6471  3 Zn 2.70-2.86, 5 Au 2.84-2.88, 1 Mn 2.85
Au: 0.1648 0.3529 0.0918  3 Zn 2.70-2.86, 5 Au 2.84-2.88, 1 Mn 2.85
Au: 0.2998 0.7636 0.0132  3 Mn 2.77-2.94, 5 Au 2.83-2.88, 2 Zn 2.84-2.87
Au: 0.2002 0.9868 0.2364  3 Mn 2.77-2.94, 5 Au 2.83-2.88, 2 Zn 2.84-2.87
Au: 0.7002 0.2364 0.9868  3 Mn 2.77-2.94, 5 Au 2.83-2.88, 2 Zn 2.84-2.87
Au: 0.7998 0.0132 0.7636  3 Mn 2.77-2.94, 5 Au 2.83-2.88, 2 Zn 2.84-2.87

Calculated density = 14.73 g cm⁻³
Calculated volume = 308 Å³ per cell

The computed energies, referenced to the most stable structure and given in meV/atom, are version P 20; version Q 0.

Version P
The following is a PBE-GGA calculation of crystalline MnZnAu6 at its relaxed geometry, from Alexandria.

Cell lengths 4.7661, 4.7661, 7.5969 Å; angles 76.02, 76.02, 69.85 degrees
Closest atoms and distances in Å follow each position.
Element x y z (fractional)
Mn: 0.0000 0.0000 0.0000  6 Au 2.67-2.73
Zn: 0.5000 0.5000 0.5000  8 Au 2.73-2.80
Au: 0.0624 0.5583 0.3063  5 Au 2.71-3.03, 1 Mn 2.73, 2 Zn 2.73-2.80
Au: 0.5583 0.0624 0.3063  5 Au 2.71-3.03, 1 Mn 2.73, 2 Zn 2.73-2.80
Au: 0.4417 0.9376 0.6937  5 Au 2.71-3.03, 1 Mn 2.73, 2 Zn 2.73-2.80
Au: 0.9376 0.4417 0.6937  5 Au 2.71-3.03, 1 Mn 2.73, 2 Zn 2.73-2.80
Au: 0.3553 0.3553 0.9335  1 Mn 2.67, 3 Au 2.74-2.88
Au: 0.6447 0.6447 0.0665  1 Mn 2.67, 3 Au 2.74-2.88

Calculated density = 13.97 g cm⁻³
Calculated volume = 155 Å³ per cell

Version Q
The following is a PBE-GGA calculation of crystalline MnZnAu6 at its relaxed geometry, from Alexandria.

Cell lengths 3.9429, 5.0608, 7.8340 Å; angles 78.00, 75.42, 67.07 degrees
Closest atoms and distances in Å follow each position.
Element x y z (fractional)
Mn: 0.0000 0.5000 0.5000  12 Au 2.83-3.00
Zn: 0.0000 0.0000 0.0000  12 Au 2.83-3.03
Au: 0.2571 0.8666 0.6192  3 Mn 2.83-2.98, 8 Au 2.85-2.93, 1 Zn 3.03
Au: 0.4978 0.2525 0.7520  2 Zn 2.87, 2 Mn 2.89, 8 Au 2.90-2.93
Au: 0.2575 0.3616 0.1233  3 Zn 2.83-3.01, 8 Au 2.88-2.92, 1 Mn 3.00
Au: 0.5022 0.7475 0.2480  2 Zn 2.87, 2 Mn 2.89, 8 Au 2.90-2.93
Au: 0.7429 0.1334 0.3808  3 Mn 2.83-2.98, 8 Au 2.85-2.93, 1 Zn 3.03
Au: 0.7425 0.6384 0.8767  3 Zn 2.83-3.01, 8 Au 2.88-2.92, 1 Mn 3.00

Calculated density = 15.64 g cm⁻³
Calculated volume = 138 Å³ per cell

The computed energies, referenced to the most stable structure and given in meV/atom, are version P 96; version Q 0.